No. 1
A geometry-optimized Tb4HoSb5 structure, computed with PBE-GGA.

Space-group type = I4/mmm, No. 139
Crystal system = tetragonal

a b c (Å): 4.394 4.394 15.840
angles (deg): 97.97 97.97 90.00
Fractional positions:
1 Tb 0.200 0.200 0.400
2 Tb 0.800 0.800 0.600
3 Sb 0.300 0.300 0.600
4 Ho 0.000 0.000 0.000
5 Sb 0.100 0.100 0.199
6 Tb 0.600 0.600 0.200
7 Sb 0.500 0.500 0.000
8 Tb 0.400 0.400 0.800
9 Sb 0.900 0.900 0.801
10 Sb 0.700 0.700 0.400

=====

No. 2
A geometry-optimized Tb5Ho3Sb8 structure, computed with PBE-GGA.

Space-group type = R-3m, No. 166
Crystal system = trigonal

a b c (Å): 8.777 8.777 8.777
angles (deg): 60.00 60.00 60.00
Fractional positions:
1 Sb 0.750 0.249 0.251
2 Sb 0.250 0.751 0.749
3 Sb 0.751 0.250 0.749
4 Tb 0.500 0.000 0.000
5 Ho 0.000 0.500 0.500
6 Tb 0.000 0.500 0.000
7 Tb 0.500 0.500 0.000
8 Sb 0.249 0.249 0.252
9 Ho 0.000 0.000 0.500
10 Tb 0.500 0.500 0.500
11 Sb 0.751 0.751 0.748
12 Sb 0.249 0.750 0.251
13 Ho 0.500 0.000 0.500
14 Sb 0.750 0.750 0.251
15 Sb 0.250 0.250 0.749
16 Tb 0.000 0.000 0.000

=====

No. 3
A geometry-optimized TbHoSb structure, computed with PBE-GGA.

Space-group type = I4mm, No. 107
Crystal system = tetragonal

a b c (Å): 3.978 3.978 5.973
angles (deg): 109.45 109.45 90.00
Fractional positions:
1 Tb 0.272 0.272 0.544
2 Sb 0.615 0.615 0.230
3 Ho 0.963 0.963 0.926

=====

No. 4
A geometry-optimized Tb3HoSb3 structure, computed with PBE-GGA.

Space-group type = P2_13, No. 198
Crystal system = cubic

a b c (Å): 9.212 9.212 9.212
angles (deg): 90.00 90.00 90.00
Fractional positions:
1 Ho 0.572 0.928 0.072
2 Sb 0.874 0.001 0.252
3 Sb 0.499 0.748 0.374
4 Tb 0.678 0.678 0.678
5 Tb 0.178 0.822 0.322
6 Tb 0.322 0.178 0.822
7 Sb 0.374 0.499 0.748
8 Tb 0.322 0.822 0.678
9 Ho 0.428 0.428 0.428
10 Sb 0.626 0.999 0.752
11 Sb 0.501 0.248 0.126
12 Tb 0.178 0.178 0.178
13 Tb 0.929 0.929 0.929
14 Tb 0.571 0.071 0.429
15 Sb 0.126 0.501 0.248
16 Tb 0.429 0.571 0.071
17 Tb 0.822 0.322 0.178
18 Sb 0.748 0.374 0.499
19 Sb 0.252 0.874 0.001
20 Sb 0.248 0.126 0.501
21 Tb 0.822 0.678 0.322
22 Sb 0.999 0.752 0.626
23 Tb 0.678 0.322 0.822
24 Sb 0.752 0.626 0.999
25 Sb 0.001 0.252 0.874
26 Ho 0.072 0.572 0.928
27 Ho 0.928 0.072 0.572
28 Tb 0.071 0.429 0.571

=====

No. 5
A geometry-optimized Tb5Ho5Sb6 structure, computed with PBE-GGA.

Space-group type = Amm2, No. 38
Crystal system = orthorhombic

a b c (Å): 6.301 8.993 8.993
angles (deg): 120.11 90.00 90.00
Fractional positions:
1 Sb 0.500 0.000 0.612
2 Sb 0.500 0.388 0.388
3 Ho 0.500 0.754 0.754
4 Tb 0.000 0.246 0.246
5 Tb 0.750 0.333 0.666
6 Ho 0.000 0.753 0.000
7 Sb 0.500 0.612 0.000
8 Sb 0.000 0.999 0.388
9 Tb 0.250 0.666 0.333
10 Ho 0.000 0.000 0.753
11 Ho 0.500 0.247 0.000
12 Tb 0.250 0.333 0.666
13 Sb 0.000 0.613 0.613
14 Ho 0.500 0.000 0.247
15 Sb 0.000 0.388 0.999
16 Tb 0.750 0.666 0.333

=====

No. 6
A geometry-optimized Tb3HoSb4 structure, computed with PBE-GGA.

Space-group type = Pm-3m, No. 221
Crystal system = cubic

a b c (Å): 6.208 6.208 6.208
angles (deg): 90.00 90.00 90.00
Fractional positions:
1 Sb 0.000 0.000 0.500
2 Tb 0.000 0.500 0.500
3 Tb 0.500 0.000 0.500
4 Tb 0.500 0.500 0.000
5 Ho 0.000 0.000 0.000
6 Sb 0.500 0.500 0.500
7 Sb 0.500 0.000 0.000
8 Sb 0.000 0.500 0.000

=====

No. 7
A geometry-optimized Tb2Ho3Sb2 structure, computed with PBE-GGA.

Space-group type = C2/m, No. 12
Crystal system = monoclinic

a b c (Å): 4.251 6.397 8.474
angles (deg): 107.87 90.00 109.41
Fractional positions:
1 Ho 0.500 0.000 0.000
2 Sb 0.827 0.653 0.806
3 Tb 0.868 0.736 0.215
4 Ho 0.626 0.251 0.446
5 Ho 0.374 0.749 0.554
6 Sb 0.173 0.347 0.194
7 Tb 0.132 0.264 0.785

=====

No. 8
A geometry-optimized Tb3HoSb2 structure, computed with PBE-GGA.

Space-group type = Ibam, No. 72
Crystal system = orthorhombic

a b c (Å): 6.988 7.642 8.877
angles (deg): 115.50 113.18 90.00
Fractional positions:
1 Sb 0.180 0.853 0.706
2 Tb 0.500 0.250 0.000
3 Sb 0.473 0.647 0.294
4 Tb 0.207 0.957 0.413
5 Ho 0.000 0.500 0.000
6 Tb 0.793 0.543 0.587
7 Sb 0.820 0.147 0.294
8 Sb 0.527 0.353 0.706
9 Tb 0.207 0.457 0.413
10 Tb 0.793 0.043 0.587
11 Tb 0.500 0.750 0.000
12 Ho 0.000 0.000 0.000

=====

Table of size of the total moment (μB/f.u.), in record order: 0.00; 0.00; 0.93; 0.00; 0.00; 0.00; 0.00; 0.33
Table of formation energy without anion corrections (eV per atom), in record order: -1.1427; -1.1349; -0.6299; -1.0022; -0.9196; -1.1450; -0.6347; -0.5688